(1)
Here is Zn2Pd2S after structural relaxation from the Alexandria database. Energies are from PBE.

Cell and atoms, written as CIF:
```
data_Zn2Pd2S
_cell_length_a 6.633
_cell_length_b 6.633
_cell_length_c 3.603
_cell_angle_alpha 90.00
_cell_angle_beta 90.00
_cell_angle_gamma 90.00
_symmetry_space_group_name_H-M 'P 1'
_symmetry_Int_Tables_number 1
_symmetry_space_group_name_Hall 'P 1'
loop_
_atom_site_label
_atom_site_fract_x
_atom_site_fract_y
_atom_site_fract_z
_atom_site_occupancy
Zn1 0.855 0.355 0.500 1
Zn2 0.355 0.145 0.500 1
S1 0.000 0.000 0.000 1
Zn3 0.145 0.645 0.500 1
Pd1 0.155 0.345 0.000 1
Pd2 0.345 0.845 0.000 1
Zn4 0.645 0.855 0.500 1
Pd3 0.845 0.655 0.000 1
S2 0.500 0.500 0.000 1
Pd4 0.655 0.155 0.000 1
```

SG: No. 127
Energy relative to the elements, uncorrected (eV/atom): -0.233
DOS(E_F) (states/eV/f.u.): 0.7
Calculated volume (Å³ per atom): 15.85



(2)
Here is ZnPd2S2 after structural relaxation from the Alexandria database. Energies are from PBE.

Cell and atoms, written as CIF:
```
data_ZnPd2S2
_cell_length_a 6.705
_cell_length_b 6.705
_cell_length_c 3.611
_cell_angle_alpha 90.00
_cell_angle_beta 90.00
_cell_angle_gamma 90.00
_symmetry_space_group_name_H-M 'P 1'
_symmetry_Int_Tables_number 1
_symmetry_space_group_name_Hall 'P 1'
loop_
_atom_site_label
_atom_site_fract_x
_atom_site_fract_y
_atom_site_fract_z
_atom_site_occupancy
Zn1 0.000 0.000 0.000 1
S1 0.169 0.331 0.000 1
Pd1 0.846 0.346 0.500 1
S2 0.831 0.669 0.000 1
S3 0.331 0.831 0.000 1
Pd2 0.346 0.154 0.500 1
Pd3 0.654 0.846 0.500 1
Zn2 0.500 0.500 0.000 1
Pd4 0.154 0.654 0.500 1
S4 0.669 0.169 0.000 1
```

SG: No. 127
Energy relative to the elements, uncorrected (eV/atom): -0.042
DOS(E_F) (states/eV/f.u.): 1.0
Calculated volume (Å³ per atom): 16.23



(3)
Here is Zn3PdS after structural relaxation from the Alexandria database. Energies are from PBE.

Cell and atoms, written as CIF:
```
data_Zn3PdS
_cell_length_a 4.598
_cell_length_b 4.598
_cell_length_c 4.598
_cell_angle_alpha 90.00
_cell_angle_beta 90.00
_cell_angle_gamma 90.00
_symmetry_space_group_name_H-M 'P 1'
_symmetry_Int_Tables_number 1
_symmetry_space_group_name_Hall 'P 1'
loop_
_atom_site_label
_atom_site_fract_x
_atom_site_fract_y
_atom_site_fract_z
_atom_site_occupancy
Zn1 0.000 0.500 0.000 1
S1 0.000 0.000 0.000 1
Zn2 0.500 0.000 0.000 1
Pd1 0.500 0.500 0.500 1
Zn3 0.000 0.000 0.500 1
```

SG: No. 221
Energy relative to the elements, uncorrected (eV/atom): 0.477
DOS(E_F) (states/eV/f.u.): 4.5
Calculated volume (Å³ per atom): 19.44
Excess energy over the best structure of this formula in the dataset (kJ per mole of atoms): 20.2



(4)
Here is ZnPdS3 after structural relaxation from the Alexandria database. Energies are from PBE.

Cell and atoms, written as CIF:
```
data_ZnPdS3
_cell_length_a 4.703
_cell_length_b 4.703
_cell_length_c 4.703
_cell_angle_alpha 90.00
_cell_angle_beta 90.00
_cell_angle_gamma 90.00
_symmetry_space_group_name_H-M 'P 1'
_symmetry_Int_Tables_number 1
_symmetry_space_group_name_Hall 'P 1'
loop_
_atom_site_label
_atom_site_fract_x
_atom_site_fract_y
_atom_site_fract_z
_atom_site_occupancy
S1 0.000 0.500 0.000 1
Pd1 0.000 0.000 0.000 1
S2 0.500 0.000 0.000 1
S3 0.000 0.000 0.500 1
Zn1 0.500 0.500 0.500 1
```

SG: No. 221
Energy relative to the elements, uncorrected (eV/atom): 0.558
DOS(E_F) (states/eV/f.u.): 4.7
Calculated volume (Å³ per atom): 20.80
Excess energy over the best structure of this formula in the dataset (kJ per mole of atoms): 0.0



(5)
Here is ZnPdS2 after structural relaxation from the Alexandria database. Energies are from PBE.

Cell and atoms, written as CIF:
```
data_ZnPdS2
_cell_length_a 5.447
_cell_length_b 5.447
_cell_length_c 6.669
_cell_angle_alpha 65.90
_cell_angle_beta 65.90
_cell_angle_gamma 90.00
_symmetry_space_group_name_H-M 'P 1'
_symmetry_Int_Tables_number 1
_symmetry_space_group_name_Hall 'P 1'
loop_
_atom_site_label
_atom_site_fract_x
_atom_site_fract_y
_atom_site_fract_z
_atom_site_occupancy
S1 0.875 0.873 0.750 1
Pd1 0.000 0.000 0.000 1
S2 0.623 0.125 0.250 1
S3 0.375 0.377 0.750 1
Zn1 0.250 0.750 0.500 1
S4 0.127 0.625 0.250 1
Pd2 0.750 0.250 0.500 1
Zn2 0.500 0.500 0.000 1
```

SG: No. 122
Energy relative to the elements, uncorrected (eV/atom): -0.333
DOS(E_F) (states/eV/f.u.): 2.3
Calculated volume (Å³ per atom): 20.19



(6)
Here is Zn2Pd8S after structural relaxation from the Alexandria database. Energies are from PBE.

Cell and atoms, written as CIF:
```
data_Zn2Pd8S
_cell_length_a 4.481
_cell_length_b 5.635
_cell_length_c 7.551
_cell_angle_alpha 111.55
_cell_angle_beta 107.26
_cell_angle_gamma 90.00
_symmetry_space_group_name_H-M 'P 1'
_symmetry_Int_Tables_number 1
_symmetry_space_group_name_Hall 'P 1'
loop_
_atom_site_label
_atom_site_fract_x
_atom_site_fract_y
_atom_site_fract_z
_atom_site_occupancy
Pd1 0.362 0.115 0.723 1
Pd2 0.633 0.396 0.267 1
Pd3 0.002 0.747 0.004 1
Pd4 0.638 0.885 0.277 1
Pd5 0.998 0.253 0.996 1
Pd6 0.367 0.604 0.733 1
Pd7 0.188 0.194 0.375 1
Zn1 0.185 0.685 0.371 1
Pd8 0.812 0.806 0.625 1
Zn2 0.815 0.315 0.629 1
S1 0.500 0.000 0.000 1
```

SG: No. 12
Energy relative to the elements, uncorrected (eV/atom): -0.277
DOS(E_F) (states/eV/f.u.): 5.5
Calculated volume (Å³ per atom): 15.28



(7)
Here is Zr2PdS after structural relaxation from the Alexandria database. Energies are from PBE.

Cell and atoms, written as CIF:
```
data_Zr2PdS
_cell_length_a 3.334
_cell_length_b 3.334
_cell_length_c 8.069
_cell_angle_alpha 78.08
_cell_angle_beta 78.08
_cell_angle_gamma 60.00
_symmetry_space_group_name_H-M 'P 1'
_symmetry_Int_Tables_number 1
_symmetry_space_group_name_Hall 'P 1'
loop_
_atom_site_label
_atom_site_fract_x
_atom_site_fract_y
_atom_site_fract_z
_atom_site_occupancy
Zr1 0.091 0.091 0.728 1
Pd1 0.667 0.667 0.000 1
Zr2 0.243 0.243 0.272 1
S1 0.500 0.500 0.500 1
```

SG: No. 160
Energy relative to the elements, uncorrected (eV/atom): -0.901
DOS(E_F) (states/eV/f.u.): 2.4
Calculated volume (Å³ per atom): 18.86



(8)
Here is Zr2PdS4 after structural relaxation from the Alexandria database. Energies are from PBE.

Cell and atoms, written as CIF:
```
data_Zr2PdS4
_cell_length_a 7.490
_cell_length_b 7.491
_cell_length_c 12.967
_cell_angle_alpha 106.84
_cell_angle_beta 90.00
_cell_angle_gamma 120.00
_symmetry_space_group_name_H-M 'P 1'
_symmetry_Int_Tables_number 1
_symmetry_space_group_name_Hall 'P 1'
loop_
_atom_site_label
_atom_site_fract_x
_atom_site_fract_y
_atom_site_fract_z
_atom_site_occupancy
Zr1 0.750 0.000 0.750 1
Zr2 0.000 0.000 0.000 1
S1 0.133 0.765 0.377 1
Zr3 0.500 0.000 0.000 1
S2 0.388 0.755 0.622 1
Pd1 0.938 0.375 0.313 1
S3 0.368 0.755 0.122 1
S4 0.632 0.245 0.878 1
S5 0.867 0.755 0.622 1
S6 0.633 0.765 0.877 1
S7 0.133 0.245 0.378 1
Pd2 0.062 0.625 0.687 1
S8 0.367 0.235 0.123 1
Zr4 0.000 0.000 0.500 1
S9 0.112 0.245 0.878 1
S10 0.373 0.245 0.617 1
Zr5 0.250 0.000 0.250 1
Zr6 0.000 0.500 0.000 1
Zr7 0.500 0.000 0.500 1
S11 0.612 0.245 0.378 1
Pd3 0.437 0.375 0.813 1
S12 0.127 0.755 0.883 1
S13 0.873 0.245 0.117 1
S14 0.867 0.235 0.623 1
S15 0.888 0.755 0.122 1
Zr8 0.500 0.500 0.500 1
Pd4 0.563 0.625 0.187 1
S16 0.627 0.755 0.383 1
```

SG: No. 166
Energy relative to the elements, uncorrected (eV/atom): -1.267
DOS(E_F) (states/eV/f.u.): 1.4
Calculated volume (Å³ per atom): 21.21



(9)
Here is ZrPd2S2 after structural relaxation from the Alexandria database. Energies are from PBE.

Cell and atoms, written as CIF:
```
data_ZrPd2S2
_cell_length_a 6.956
_cell_length_b 6.956
_cell_length_c 3.442
_cell_angle_alpha 90.00
_cell_angle_beta 90.00
_cell_angle_gamma 90.00
_symmetry_space_group_name_H-M 'P 1'
_symmetry_Int_Tables_number 1
_symmetry_space_group_name_Hall 'P 1'
loop_
_atom_site_label
_atom_site_fract_x
_atom_site_fract_y
_atom_site_fract_z
_atom_site_occupancy
Pd1 0.143 0.643 0.500 1
S1 0.669 0.169 0.000 1
S2 0.331 0.831 0.000 1
S3 0.831 0.669 0.000 1
Pd2 0.857 0.357 0.500 1
Pd3 0.643 0.857 0.500 1
Pd4 0.357 0.143 0.500 1
S4 0.169 0.331 0.000 1
Zr1 0.000 0.000 0.000 1
Zr2 0.500 0.500 0.000 1
```

SG: No. 127
Energy relative to the elements, uncorrected (eV/atom): -0.581
DOS(E_F) (states/eV/f.u.): 1.8
Calculated volume (Å³ per atom): 16.65



(10)
Here is Zr2PdS6 after structural relaxation from the Alexandria database. Energies are from PBE.

Cell and atoms, written as CIF:
```
data_Zr2PdS6
_cell_length_a 5.932
_cell_length_b 5.932
_cell_length_c 11.266
_cell_angle_alpha 90.00
_cell_angle_beta 90.00
_cell_angle_gamma 90.00
_symmetry_space_group_name_H-M 'P 1'
_symmetry_Int_Tables_number 1
_symmetry_space_group_name_Hall 'P 1'
loop_
_atom_site_label
_atom_site_fract_x
_atom_site_fract_y
_atom_site_fract_z
_atom_site_occupancy
S1 0.310 0.310 0.663 1
S2 0.707 0.707 0.000 1
Zr1 0.500 0.500 0.839 1
S3 0.810 0.190 0.163 1
S4 0.690 0.690 0.337 1
Pd1 0.000 0.000 0.000 1
S5 0.310 0.310 0.337 1
Zr2 0.000 0.000 0.661 1
S6 0.207 0.793 0.500 1
Zr3 0.000 0.000 0.339 1
S7 0.190 0.810 0.837 1
S8 0.793 0.207 0.500 1
S9 0.690 0.690 0.663 1
Zr4 0.500 0.500 0.161 1
S10 0.293 0.293 0.000 1
Pd2 0.500 0.500 0.500 1
S11 0.810 0.190 0.837 1
S12 0.190 0.810 0.163 1
```

SG: No. 136
Energy relative to the elements, uncorrected (eV/atom): -0.850
DOS(E_F) (states/eV/f.u.): 3.4
Calculated volume (Å³ per atom): 22.03